No. 1
Density functional theory data (PBE) for a relaxed KNaH2 crystal.

Properties
Its magnetization is 0.00 μB per atom. As for the space group: P2_1/c. The value obtained for the polymorph energy (0 for the lowest one) is 0 kJ/mol of formula units.

Unit cell a=6.9023 b=7.1456 c=6.2642 alpha=90.00 beta=105.31 gamma=90.00
Positions (direct):
1 K 0.1671 0.0858 0.3093
2 K 0.1671 0.4142 0.8093
3 K 0.8329 0.5858 0.1907
4 K 0.8329 0.9142 0.6907
5 Na 0.3634 0.6644 0.3559
6 Na 0.3634 0.8356 0.8559
7 Na 0.6366 0.1644 0.1441
8 Na 0.6366 0.3356 0.6441
9 H 0.1223 0.7436 0.5300
10 H 0.1223 0.7564 0.0300
11 H 0.4258 0.1276 0.7577
12 H 0.4258 0.3724 0.2577
13 H 0.5742 0.6276 0.7423
14 H 0.5742 0.8724 0.2423
15 H 0.8777 0.2436 0.9700
16 H 0.8777 0.2564 0.4700

---

No. 2
Density functional theory data (PBE) for a relaxed K2Na2NiH4 crystal.

Properties
As for the calculated total energy: -2.651 eV/atom. Its magnetization is 0.00 μB per atom. As for the space group: I4/mmm.

Unit cell a=6.2411 b=6.2411 c=6.2411 alpha=114.45 beta=114.45 gamma=99.92
Positions (direct):
1 K 0.2500 0.7500 0.5000
2 K 0.7500 0.2500 0.5000
3 Na 0.1808 0.1808 0.0000
4 Na 0.8192 0.8192 0.0000
5 Ni 0.5000 0.5000 0.0000
6 H 0.3371 0.3371 0.6741
7 H 0.3371 0.6629 0.0000
8 H 0.6629 0.3371 0.0000
9 H 0.6629 0.6629 0.3259

---

No. 3
Density functional theory data (PBE) for a relaxed KNaNiH6 crystal.

Properties
As for the calculated total energy: -3.279 eV/atom. Its magnetization is 0.02 μB per atom. As for the space group: P1.

Unit cell a=5.1828 b=5.2133 c=5.2160 alpha=60.05 beta=89.99 gamma=89.99
Positions (direct):
1 K 0.0000 0.0000 0.0000
2 Na 0.5000 0.3334 0.3335
3 Ni 0.5005 0.6667 0.6674
4 H 0.3242 0.4357 0.8956
5 H 0.3254 0.6709 0.4347
6 H 0.3259 0.8961 0.6707
7 H 0.6749 0.4339 0.6706
8 H 0.6759 0.6686 0.8967
9 H 0.6767 0.8952 0.4365

---

No. 4
Density functional theory data (PBE) for a relaxed K2NaNiH6 crystal.

Properties
As for the calculated total energy: -3.102 eV/atom. Its magnetization is 0.00 μB per atom. As for the space group: P-3m1.

Unit cell a=5.6902 b=5.6902 c=5.5549 alpha=90.00 beta=90.00 gamma=120.00
Positions (direct):
1 K 0.3333 0.6667 0.3259
2 K 0.6667 0.3333 0.6741
3 Na 0.0000 0.0000 0.0000
4 Ni 0.0000 0.0000 0.5000
5 H 0.1316 0.2633 0.6622
6 H 0.1316 0.8684 0.6622
7 H 0.2633 0.1316 0.3378
8 H 0.7367 0.8684 0.6622
9 H 0.8684 0.1316 0.3378
10 H 0.8684 0.7367 0.3378

---

No. 5
Density functional theory data (PBE) for a relaxed KNaNiH4 crystal.

Properties
As for the calculated total energy: -3.238 eV/atom. Its magnetization is 0.00 μB per atom. As for the space group: I4mm.

Unit cell a=3.6231 b=3.6231 c=12.8961 alpha=90.00 beta=90.00 gamma=90.00
Positions (direct):
1 K 0.0000 0.0000 0.0000
2 K 0.5000 0.5000 0.5000
3 Na 0.0000 0.0000 0.2620
4 Na 0.5000 0.5000 0.7620
5 Ni 0.0000 0.0000 0.6585
6 Ni 0.5000 0.5000 0.1585
7 H 0.0000 0.0000 0.5363
8 H 0.0000 0.0000 0.7833
9 H 0.0000 0.5000 0.1547
10 H 0.0000 0.5000 0.6547
11 H 0.5000 0.0000 0.1547
12 H 0.5000 0.0000 0.6547
13 H 0.5000 0.5000 0.0363
14 H 0.5000 0.5000 0.2833

---

No. 6
Density functional theory data (PBE) for a relaxed K6Na2HO crystal.

Properties
As for the calculated total energy: -2.060 eV/atom. Its magnetization is 0.00 μB per atom. As for the space group: I4/mmm.

Unit cell a=8.2468 b=8.2468 c=8.2468 alpha=119.87 beta=119.87 gamma=90.23
Positions (direct):
1 K 0.2323 0.2323 0.0000
2 K 0.2318 0.2318 0.4636
3 K 0.2318 0.7682 0.0000
4 K 0.7682 0.2318 0.0000
5 K 0.7677 0.7677 0.0000
6 K 0.7682 0.7682 0.5364
7 Na 0.2499 0.7500 0.5000
8 Na 0.7500 0.2500 0.5001
9 H 0.5000 0.5000 0.0000
10 O 0.0000 0.0000 0.0000

---

No. 7
Density functional theory data (PBE) for a relaxed K5NaP3H3O12 crystal.

Properties
As for the calculated total energy: -5.910 eV/atom. Its magnetization is 0.00 μB per atom. As for the space group: Pna2_1.

Unit cell a=22.7791 b=10.1511 c=5.9249 alpha=90.00 beta=90.00 gamma=90.00
Positions (direct):
1 K 0.0492 0.1006 0.0000
2 K 0.0924 0.6247 0.4952
3 K 0.1572 0.2707 0.5141
4 K 0.1691 0.8619 0.9964
5 K 0.2190 0.5046 0.0481
6 K 0.2810 0.0046 0.5481
7 K 0.3309 0.3619 0.4964
8 K 0.3428 0.7707 0.0141
9 K 0.4076 0.1247 0.9952
10 K 0.4508 0.6006 0.5000
11 K 0.5492 0.3994 0.0000
12 K 0.5924 0.8753 0.4952
13 K 0.6572 0.2293 0.5141
14 K 0.6691 0.6381 0.9964
15 K 0.7190 0.9954 0.0481
16 K 0.7810 0.4954 0.5481
17 K 0.8309 0.1381 0.4964
18 K 0.8428 0.7293 0.0141
19 K 0.9076 0.3753 0.9952
20 K 0.9508 0.8994 0.5000
21 Na 0.0151 0.7548 0.0049
22 Na 0.4849 0.2548 0.5049
23 Na 0.5151 0.7452 0.0049
24 Na 0.9849 0.2452 0.5049
25 P 0.0741 0.4310 0.9982
26 P 0.0872 0.9510 0.5005
27 P 0.2402 0.6504 0.5465
28 P 0.2598 0.1504 0.0465
29 P 0.4128 0.4510 0.0005
30 P 0.4259 0.9310 0.4982
31 P 0.5741 0.0690 0.9982
32 P 0.5872 0.5490 0.5005
33 P 0.7402 0.8496 0.5465
34 P 0.7598 0.3496 0.0465
35 P 0.9128 0.0490 0.0005
36 P 0.9259 0.5690 0.4982
37 H 0.0013 0.4871 0.2322
38 H 0.1676 0.2131 0.9841
39 H 0.1771 0.8649 0.4573
40 H 0.3229 0.3649 0.9573
41 H 0.3324 0.7131 0.4841
42 H 0.4987 0.9871 0.7322
43 H 0.5013 0.0129 0.2322
44 H 0.6676 0.2869 0.9841
45 H 0.6771 0.6351 0.4573
46 H 0.8229 0.1351 0.9573
47 H 0.8324 0.7869 0.4841
48 H 0.9987 0.5129 0.7322
49 O 0.0287 0.4061 0.2076
50 O 0.0401 0.3984 0.7773
51 O 0.0673 0.0955 0.5050
52 O 0.0673 0.8776 0.2855
53 O 0.0687 0.8749 0.7148
54 O 0.0933 0.5754 0.0077
55 O 0.1238 0.3317 0.0407
56 O 0.1587 0.9560 0.4960
57 O 0.1930 0.1349 0.9436
58 O 0.2062 0.7392 0.3778
59 O 0.2155 0.5100 0.5464
60 O 0.2459 0.7147 0.7786
61 O 0.2541 0.2147 0.2786
62 O 0.2845 0.0100 0.0464
63 O 0.2938 0.2392 0.8778
64 O 0.3070 0.6349 0.4436
65 O 0.3413 0.4560 0.9960
66 O 0.3762 0.8317 0.5407
67 O 0.4067 0.0754 0.5077
68 O 0.4313 0.3749 0.2148
69 O 0.4327 0.3776 0.7855
70 O 0.4327 0.5955 0.0050
71 O 0.4599 0.8984 0.2773
72 O 0.4713 0.9061 0.7076
73 O 0.5287 0.0939 0.2076
74 O 0.5401 0.1016 0.7773
75 O 0.5673 0.4045 0.5050
76 O 0.5673 0.6224 0.2855
77 O 0.5687 0.6251 0.7148
78 O 0.5933 0.9246 0.0077
79 O 0.6238 0.1683 0.0407
80 O 0.6587 0.5440 0.4960
81 O 0.6930 0.3651 0.9436
82 O 0.7062 0.7608 0.3778
83 O 0.7155 0.9900 0.5464
84 O 0.7459 0.7853 0.7786
85 O 0.7541 0.2853 0.2786
86 O 0.7845 0.4900 0.0464
87 O 0.7938 0.2608 0.8778
88 O 0.8070 0.8651 0.4436
89 O 0.8413 0.0440 0.9960
90 O 0.8762 0.6683 0.5407
91 O 0.9067 0.4246 0.5077
92 O 0.9313 0.1251 0.2148
93 O 0.9327 0.1224 0.7855
94 O 0.9327 0.9045 0.0050
95 O 0.9599 0.6016 0.2773
96 O 0.9713 0.5939 0.7076

---

No. 8
Density functional theory data (PBE) for a relaxed KNaTiSi3H2O10 crystal.

Properties
As for the calculated total energy: -7.031 eV/atom. Its magnetization is 0.00 μB per atom. As for the space group: P2_1/c.

Unit cell a=6.4701 b=11.4234 c=12.9188 alpha=90.00 beta=104.71 gamma=90.00
Positions (direct):
1 K 0.1823 0.1178 0.3864
2 K 0.1823 0.3822 0.8864
3 K 0.8177 0.6178 0.1136
4 K 0.8177 0.8822 0.6136
5 Na 0.2646 0.0549 0.0835
6 Na 0.2646 0.4451 0.5835
7 Na 0.7354 0.5549 0.4165
8 Na 0.7354 0.9451 0.9165
9 Ti 0.3873 0.7281 0.7853
10 Ti 0.3873 0.7719 0.2853
11 Ti 0.6127 0.2281 0.7147
12 Ti 0.6127 0.2719 0.2147
13 Si 0.0812 0.1988 0.6514
14 Si 0.0812 0.3012 0.1514
15 Si 0.2998 0.7393 0.0235
16 Si 0.2998 0.7607 0.5235
17 Si 0.3466 0.5187 0.1576
18 Si 0.3466 0.9813 0.6576
19 Si 0.6534 0.0187 0.3424
20 Si 0.6534 0.4813 0.8424
21 Si 0.7002 0.2394 0.4765
22 Si 0.7002 0.2606 0.9765
23 Si 0.9188 0.6988 0.8486
24 Si 0.9188 0.8012 0.3486
25 H 0.0303 0.0864 0.8396
26 H 0.0303 0.4136 0.3396
27 H 0.1714 0.5268 0.3477
28 H 0.1714 0.9732 0.8477
29 H 0.8286 0.0268 0.1523
30 H 0.8286 0.4732 0.6523
31 H 0.9697 0.5864 0.6604
32 H 0.9697 0.9136 0.1604
33 O 0.0388 0.7460 0.4676
34 O 0.0388 0.7540 0.9676
35 O 0.0767 0.7021 0.7688
36 O 0.0767 0.7979 0.2688
37 O 0.0857 0.0191 0.8870
38 O 0.0857 0.4809 0.3870
39 O 0.1262 0.0606 0.6243
40 O 0.1262 0.4394 0.1243
41 O 0.3027 0.2316 0.1988
42 O 0.3027 0.2684 0.6988
43 O 0.3275 0.6025 0.2558
44 O 0.3275 0.8975 0.7558
45 O 0.3481 0.5981 0.0513
46 O 0.3481 0.9019 0.5513
47 O 0.3529 0.6875 0.6343
48 O 0.3529 0.8125 0.1343
49 O 0.4351 0.7253 0.4386
50 O 0.4351 0.7747 0.9386
51 O 0.4449 0.5648 0.8183
52 O 0.4449 0.9352 0.3183
53 O 0.5551 0.0648 0.6817
54 O 0.5551 0.4352 0.1817
55 O 0.5649 0.2253 0.0614
56 O 0.5649 0.2747 0.5614
57 O 0.6471 0.1875 0.8657
58 O 0.6471 0.3125 0.3657
59 O 0.6519 0.0981 0.4487
60 O 0.6519 0.4019 0.9487
61 O 0.6725 0.1025 0.2442
62 O 0.6725 0.3975 0.7442
63 O 0.6973 0.7316 0.3012
64 O 0.6973 0.7684 0.8012
65 O 0.8738 0.5606 0.8757
66 O 0.8738 0.9394 0.3757
67 O 0.9143 0.5191 0.6130
68 O 0.9143 0.9809 0.1130
69 O 0.9233 0.2021 0.7312
70 O 0.9233 0.2979 0.2312
71 O 0.9612 0.2460 0.0324
72 O 0.9612 0.2540 0.5324

---

No. 9
Density functional theory data (PBE) for a relaxed K2NaH6Os crystal.

Properties
As for the calculated total energy: -3.630 eV/atom. Its magnetization is 0.10 μB per atom. As for the space group: Fm-3m.

Unit cell a=5.7268 b=5.7268 c=5.7268 alpha=60.00 beta=60.00 gamma=60.00
Positions (direct):
1 K 0.2500 0.2500 0.2500
2 K 0.7500 0.7500 0.7500
3 Na 0.0000 0.0000 0.0000
4 H 0.2855 0.2855 0.7145
5 H 0.2855 0.7145 0.2855
6 H 0.2855 0.7145 0.7145
7 H 0.7145 0.2855 0.2855
8 H 0.7145 0.2855 0.7145
9 H 0.7145 0.7145 0.2855
10 Os 0.5000 0.5000 0.5000

---

No. 10
Density functional theory data (PBE) for a relaxed K3NaH6Pd2 crystal.

Properties
As for the calculated total energy: -2.982 eV/atom. Its magnetization is 0.00 μB per atom. As for the space group: P-3m1.

Unit cell a=5.9633 b=5.9633 c=6.6764 alpha=90.00 beta=90.00 gamma=120.00
Positions (direct):
1 K 0.0000 0.0000 0.0000
2 K 0.3333 0.6667 0.6856
3 K 0.6667 0.3333 0.3144
4 Na 0.0000 0.0000 0.5000
5 H 0.1794 0.3587 0.2800
6 H 0.1794 0.8206 0.2800
7 H 0.3587 0.1794 0.7200
8 H 0.6413 0.8206 0.2800
9 H 0.8206 0.1794 0.7200
10 H 0.8206 0.6413 0.7200
11 Pd 0.3333 0.6667 0.1908
12 Pd 0.6667 0.3333 0.8092

---

No. 11
Density functional theory data (PBE) for a relaxed K2Na2H4Pd crystal.

Properties
As for the calculated total energy: -2.668 eV/atom. Its magnetization is 0.00 μB per atom. As for the space group: I4/mmm.

Unit cell a=6.2197 b=6.2197 c=6.2197 alpha=115.74 beta=115.74 gamma=97.55
Positions (direct):
1 K 0.2500 0.7500 0.5000
2 K 0.7500 0.2500 0.5000
3 Na 0.1716 0.1716 0.0000
4 Na 0.8284 0.8284 0.0000
5 H 0.3187 0.3187 0.6374
6 H 0.3187 0.6813 0.0000
7 H 0.6813 0.3187 0.0000
8 H 0.6813 0.6813 0.3626
9 Pd 0.5000 0.5000 0.0000

---

No. 12
Density functional theory data (PBE) for a relaxed KNa2H4Pd crystal.

Properties
As for the calculated total energy: -2.986 eV/atom. Its magnetization is 0.00 μB per atom. As for the space group: Cmcm.

Unit cell a=6.3297 b=6.3297 c=11.5059 alpha=90.00 beta=90.00 gamma=147.38
Positions (direct):
1 K 0.0561 0.9439 0.7500
2 K 0.9439 0.0561 0.2500
3 Na 0.3668 0.6332 0.5437
4 Na 0.3668 0.6332 0.9563
5 Na 0.6332 0.3668 0.0437
6 Na 0.6332 0.3668 0.4563
7 H 0.0000 0.0000 0.0000
8 H 0.0000 0.0000 0.5000
9 H 0.2379 0.7621 0.1043
10 H 0.2379 0.7621 0.3957
11 H 0.2947 0.7053 0.7500
12 H 0.7053 0.2947 0.2500
13 H 0.7621 0.2379 0.6043
14 H 0.7621 0.2379 0.8957
15 Pd 0.2230 0.7770 0.2500
16 Pd 0.7770 0.2230 0.7500

---

No. 13
Density functional theory data (PBE) for a relaxed K3NaH8Pd2 crystal.

Properties
As for the calculated total energy: -2.944 eV/atom. Its magnetization is 0.00 μB per atom. As for the space group: P-3m1.

Unit cell a=5.6306 b=5.6306 c=7.6948 alpha=90.00 beta=90.00 gamma=120.00
Positions (direct):
1 K 0.0000 0.0000 0.0000
2 K 0.3333 0.6667 0.6542
3 K 0.6667 0.3333 0.3458
4 Na 0.0000 0.0000 0.5000
5 H 0.1871 0.3742 0.3149
6 H 0.1871 0.8129 0.3149
7 H 0.3333 0.6667 0.9725
8 H 0.3742 0.1871 0.6851
9 H 0.6258 0.8129 0.3149
10 H 0.6667 0.3333 0.0275
11 H 0.8129 0.1871 0.6851
12 H 0.8129 0.6258 0.6851
13 Pd 0.3333 0.6667 0.1943
14 Pd 0.6667 0.3333 0.8057

---

No. 14
Density functional theory data (PBE) for a relaxed K2NaH6Pd crystal.

Properties
As for the calculated total energy: -3.064 eV/atom. Its magnetization is 0.00 μB per atom. As for the space group: P-3m1.

Unit cell a=5.7297 b=5.7297 c=5.6433 alpha=90.00 beta=90.00 gamma=120.00
Positions (direct):
1 K 0.3333 0.6667 0.1857
2 K 0.6667 0.3333 0.8143
3 Na 0.0000 0.0000 0.5000
4 H 0.1412 0.2825 0.8263
5 H 0.1412 0.8588 0.8263
6 H 0.2825 0.1412 0.1737
7 H 0.7175 0.8588 0.8263
8 H 0.8588 0.1412 0.1737
9 H 0.8588 0.7175 0.1737
10 Pd 0.0000 0.0000 0.0000

---

No. 15
Density functional theory data (PBE) for a relaxed KNa3H6Pd2 crystal.

Properties
As for the calculated total energy: -3.009 eV/atom. Its magnetization is 0.00 μB per atom. As for the space group: P-3m1.

Unit cell a=5.2054 b=5.2054 c=7.6358 alpha=90.00 beta=90.00 gamma=120.00
Positions (direct):
1 K 0.0000 0.0000 0.0000
2 Na 0.0000 0.0000 0.5000
3 Na 0.3333 0.6667 0.2673
4 Na 0.6667 0.3333 0.7327
5 H 0.1702 0.3404 0.7303
6 H 0.1702 0.8298 0.7303
7 H 0.3404 0.1702 0.2697
8 H 0.6596 0.8298 0.7303
9 H 0.8298 0.1702 0.2697
10 H 0.8298 0.6596 0.2697
11 Pd 0.3333 0.6667 0.6294
12 Pd 0.6667 0.3333 0.3706